## TmSnAs (PBE-GGA)

Data for TmSnAs after structural relaxation.

Unit cell a=4.859 b=4.859 c=4.859 alpha=60.00 beta=60.00 gamma=60.00
Positions (direct):
Tm  0.000  0.000  0.000
Sn  0.500  0.500  0.500
As  0.750  0.750  0.750

Calculated values
Its total DFT energy (no corrections) is -0.3473 Ry per atom. The space group is No. 216.



## RbCoHg (PBE-GGA)

Data for RbCoHg after structural relaxation.

Unit cell a=5.103 b=5.103 c=5.103 alpha=60.00 beta=60.00 gamma=60.00
Positions (direct):
Rb  0.000  0.000  0.000
Co  0.750  0.750  0.750
Hg  0.500  0.500  0.500

Calculated values
Its energy above the most stable polymorph in this dataset is 0.000 eV/f.u. Its total DFT energy (no corrections) is -0.1411 Ry per atom. The space group is No. 216.



## YCuGeOs (PBE-GGA)

Data for YCuGeOs after structural relaxation.

Unit cell a=4.576 b=4.576 c=4.576 alpha=60.00 beta=60.00 gamma=60.00
Positions (direct):
Y  0.000  0.000  0.000
Cu  0.750  0.750  0.750
Ge  0.500  0.500  0.500
Os  0.250  0.250  0.250

Calculated values
Its energy above the most stable polymorph in this dataset is 0.000 eV/f.u. Its total DFT energy (no corrections) is -0.4751 Ry per atom. The space group is No. 216.



## PmZn8Ni4 (PBE-GGA)

Data for PmZn8Ni4 after structural relaxation.

Unit cell a=6.585 b=6.585 c=6.585 alpha=98.45 beta=98.45 gamma=134.91
Positions (direct):
Pm  0.000  0.000  0.000
Zn  0.000  0.344  0.344
Zn  0.000  0.656  0.656
Zn  0.275  0.500  0.775
Zn  0.344  0.000  0.344
Zn  0.500  0.275  0.775
Zn  0.500  0.725  0.225
Zn  0.656  0.000  0.656
Zn  0.725  0.500  0.225
Ni  0.000  0.000  0.500
Ni  0.000  0.500  0.000
Ni  0.500  0.000  0.000
Ni  0.500  0.500  0.500

Calculated values
The calculation puts the calculated formation energy at -0.30 eV per atom. Its total DFT energy (no corrections) is -0.2318 Ry per atom. The space group is No. 139.



## OsPbNO (PBE-GGA)

Data for OsPbNO after structural relaxation.

Unit cell a=3.017 b=6.553 c=6.711 alpha=90.00 beta=90.00 gamma=90.00
Positions (direct):
Os  0.000  0.097  0.000
Os  0.000  0.903  0.500
Pb  0.500  0.332  0.471
Pb  0.500  0.668  0.971
N  0.000  0.065  0.735
N  0.000  0.935  0.235
O  0.500  0.278  0.107
O  0.500  0.722  0.607

Calculated values
Its energy above the most stable polymorph in this dataset is 0.000 eV/f.u. Its total DFT energy (no corrections) is -0.5147 Ry per atom. The space group is No. 26.



## AgAs5Ir3 (PBE-GGA)

Data for AgAs5Ir3 after structural relaxation.

Unit cell a=5.517 b=5.517 c=7.169 alpha=90.00 beta=90.00 gamma=120.00
Positions (direct):
Ag  0.000  0.000  0.000
As  0.000  0.000  0.500
As  0.333  0.667  0.224
As  0.333  0.667  0.776
As  0.667  0.333  0.224
As  0.667  0.333  0.776
Ir  0.000  0.500  0.500
Ir  0.500  0.000  0.500
Ir  0.500  0.500  0.500

Calculated values
Its total DFT energy (no corrections) is -0.4163 Ry per atom. The space group is No. 191.



## Dy3Si4Sn4 (PBE-GGA)

Data for Dy3Si4Sn4 after structural relaxation.

Unit cell a=8.680 b=8.680 c=8.680 alpha=153.42 beta=118.73 gamma=67.98
Positions (direct):
Dy  0.000  0.000  0.000
Dy  0.371  0.871  0.500
Dy  0.629  0.129  0.500
Si  0.215  0.215  0.000
Si  0.363  0.500  0.863
Si  0.637  0.500  0.137
Si  0.785  0.785  0.000
Sn  0.040  0.345  0.695
Sn  0.351  0.655  0.695
Sn  0.649  0.345  0.305
Sn  0.960  0.655  0.305

Calculated values
Its energy above the most stable polymorph in this dataset is 0.000 eV/f.u. Its total DFT energy (no corrections) is -0.3611 Ry per atom. The space group is No. 71.



## RbZr3P5 (PBE-GGA)

Data for RbZr3P5 after structural relaxation.

Unit cell a=6.093 b=6.093 c=6.079 alpha=90.00 beta=90.00 gamma=120.00
Positions (direct):
Rb  0.000  0.000  0.000
Zr  0.000  0.500  0.500
Zr  0.500  0.000  0.500
Zr  0.500  0.500  0.500
P  0.000  0.000  0.500
P  0.333  0.667  0.178
P  0.333  0.667  0.822
P  0.667  0.333  0.178
P  0.667  0.333  0.822

Calculated values
Its total DFT energy (no corrections) is -0.4844 Ry per atom. The space group is No. 191.



## HfSiPO (PBE-GGA)

Data for HfSiPO after structural relaxation.

Unit cell a=3.461 b=3.461 c=9.748 alpha=90.00 beta=90.00 gamma=90.00
Positions (direct):
Hf  0.250  0.250  0.130
Hf  0.750  0.750  0.870
Si  0.250  0.750  0.500
Si  0.750  0.250  0.500
P  0.250  0.250  0.730
P  0.750  0.750  0.270
O  0.250  0.750  0.000
O  0.750  0.250  0.000

Calculated values
Its energy above the most stable polymorph in this dataset is 0.000 eV/f.u. Its total DFT energy (no corrections) is -0.5694 Ry per atom. The space group is No. 129.



## TcPPdO (PBE-GGA)

Data for TcPPdO after structural relaxation.

Unit cell a=2.921 b=6.070 c=6.512 alpha=90.00 beta=90.00 gamma=90.00
Positions (direct):
Tc  0.000  0.240  0.000
Tc  0.000  0.760  0.500
P  0.000  0.078  0.303
P  0.000  0.922  0.803
Pd  0.500  0.183  0.577
Pd  0.500  0.817  0.077
O  0.500  0.463  0.019
O  0.500  0.537  0.519

Calculated values
Its energy above the most stable polymorph in this dataset is 0.000 eV/f.u. Its total DFT energy (no corrections) is -0.5139 Ry per atom. The space group is No. 26.



## ScU8S17 (PBE-GGA)

Data for ScU8S17 after structural relaxation.

Unit cell a=7.822 b=7.822 c=10.447 alpha=99.58 beta=99.58 gamma=64.64
Positions (direct):
Sc  0.000  0.000  0.000
U  0.184  0.697  0.301
U  0.205  0.205  0.459
U  0.303  0.816  0.699
U  0.318  0.318  0.983
U  0.682  0.682  0.017
U  0.697  0.184  0.301
U  0.795  0.795  0.541
U  0.816  0.303  0.699
S  0.000  0.000  0.500
S  0.058  0.670  0.037
S  0.062  0.062  0.235
S  0.179  0.568  0.535
S  0.212  0.212  0.721
S  0.303  0.303  0.247
S  0.330  0.942  0.963
S  0.432  0.821  0.465
S  0.479  0.479  0.830
S  0.521  0.521  0.170
S  0.568  0.179  0.535
S  0.670  0.058  0.037
S  0.697  0.697  0.753
S  0.788  0.788  0.279
S  0.821  0.432  0.465
S  0.938  0.938  0.765
S  0.942  0.330  0.963

Calculated values
Its total DFT energy (no corrections) is -0.5798 Ry per atom. The space group is No. 12.



## UCdI (PBE-GGA)

Data for UCdI after structural relaxation.

Unit cell a=4.317 b=4.317 c=8.689 alpha=90.00 beta=90.00 gamma=90.00
Positions (direct):
U  0.250  0.250  0.198
U  0.750  0.750  0.802
Cd  0.250  0.750  0.500
Cd  0.750  0.250  0.500
I  0.250  0.250  0.842
I  0.750  0.750  0.158

Calculated values
Its total DFT energy (no corrections) is -0.3239 Ry per atom. The space group is No. 129.